Record 1
Here is a relaxed structure of YPdPt3 from Alexandria. Energies are from GGA-PBE.

Theoretical density, g/cm³: 10.17
Space-group type: Pm-3m

Lattice parameters (Å, degrees): 5.033 5.033 5.033 90.00 90.00 90.00
Fractional coordinates of all 5 atoms:
Y  0.000  0.000  0.000
Pd  0.500  0.500  0.500
Pt  0.000  0.000  0.500
Pt  0.000  0.500  0.000
Pt  0.500  0.000  0.000


Record 2
Here is a relaxed structure of YPd3Pt from Alexandria. Energies are from GGA-PBE.

Theoretical density, g/cm³: 8.51
Space-group type: Pm-3m

Lattice parameters (Å, degrees): 4.901 4.901 4.901 90.00 90.00 90.00
Fractional coordinates of all 5 atoms:
Y  0.000  0.000  0.000
Pd  0.000  0.000  0.500
Pd  0.000  0.500  0.000
Pd  0.500  0.000  0.000
Pt  0.500  0.500  0.500


Record 3
Here is a relaxed structure of YPd2Pt6 from Alexandria. Energies are from GGA-PBE.

Theoretical density, g/cm³: 15.90
Space-group type: C2/m

Lattice parameters (Å, degrees): 7.097 7.097 4.008 98.05 98.05 126.69
Fractional coordinates of all 9 atoms:
Y  0.000  0.000  0.000
Pd  0.160  0.840  0.500
Pd  0.840  0.160  0.500
Pt  0.182  0.501  0.162
Pt  0.338  0.338  0.667
Pt  0.499  0.818  0.838
Pt  0.501  0.182  0.162
Pt  0.662  0.662  0.333
Pt  0.818  0.499  0.838


Record 4
Here is a relaxed structure of YPd6Pt4 from Alexandria. Energies are from GGA-PBE.

Theoretical density, g/cm³: 13.29
Space-group type: Amm2

Lattice parameters (Å, degrees): 4.585 7.902 7.902 41.14 90.00 90.00
Fractional coordinates of all 11 atoms:
Y  0.000  0.000  0.000
Pd  0.000  0.045  0.540
Pd  0.000  0.457  0.457
Pd  0.000  0.540  0.045
Pd  0.500  0.335  0.833
Pd  0.500  0.743  0.743
Pd  0.500  0.833  0.335
Pt  0.000  0.635  0.635
Pt  0.500  0.154  0.651
Pt  0.500  0.242  0.242
Pt  0.500  0.651  0.154


Record 5
Here is a relaxed structure of Y2Pd3Pt2 from Alexandria. Energies are from GGA-PBE.

Theoretical density, g/cm³: 10.46
Space-group type: C2/m

Lattice parameters (Å, degrees): 9.624 4.035 8.291 90.00 118.99 90.00
Fractional coordinates of all 14 atoms:
Y  0.203  0.000  0.263
Y  0.297  0.500  0.737
Y  0.703  0.500  0.263
Y  0.797  0.000  0.737
Pd  0.000  0.500  0.000
Pd  0.029  0.500  0.356
Pd  0.471  0.000  0.644
Pd  0.500  0.000  0.000
Pd  0.529  0.000  0.356
Pd  0.971  0.500  0.644
Pt  0.152  0.000  0.889
Pt  0.348  0.500  0.111
Pt  0.652  0.500  0.889
Pt  0.848  0.000  0.111


Record 6
Here is a relaxed structure of Y4PdPt5 from Alexandria. Energies are from GGA-PBE.

Theoretical density, g/cm³: 11.50
Space-group type: C2/m

Lattice parameters (Å, degrees): 8.686 8.686 5.641 98.47 98.47 29.58
Fractional coordinates of all 10 atoms:
Y  0.110  0.110  0.295
Y  0.329  0.329  0.173
Y  0.671  0.671  0.827
Y  0.890  0.890  0.705
Pd  0.500  0.500  0.500
Pt  0.061  0.061  0.774
Pt  0.268  0.268  0.659
Pt  0.500  0.500  0.000
Pt  0.732  0.732  0.341
Pt  0.939  0.939  0.226


Record 7
Here is a relaxed structure of Y2PdPt from Alexandria. Energies are from GGA-PBE.

Theoretical density, g/cm³: 8.09
Space-group type: R3m

Lattice parameters (Å, degrees): 4.075 4.075 20.508 90.00 90.00 120.00
Fractional coordinates of all 12 atoms:
Y  0.000  0.000  0.000
Y  0.000  0.000  0.177
Y  0.333  0.667  0.667
Y  0.333  0.667  0.844
Y  0.667  0.333  0.333
Y  0.667  0.333  0.511
Pd  0.000  0.000  0.425
Pd  0.333  0.667  0.091
Pd  0.667  0.333  0.758
Pt  0.000  0.000  0.587
Pt  0.333  0.667  0.254
Pt  0.667  0.333  0.920


Record 8
Here is a relaxed structure of YPdPt3 from Alexandria. Energies are from GGA-PBE.

Theoretical density, g/cm³: 13.14
Space-group type: Cmcm

Lattice parameters (Å, degrees): 7.825 7.825 5.130 90.00 90.00 141.09
Fractional coordinates of all 10 atoms:
Y  0.189  0.811  0.750
Y  0.811  0.189  0.250
Pd  0.451  0.549  0.250
Pd  0.549  0.451  0.750
Pt  0.000  0.000  0.000
Pt  0.000  0.000  0.500
Pt  0.128  0.391  0.750
Pt  0.391  0.128  0.250
Pt  0.609  0.872  0.750
Pt  0.872  0.609  0.250


Record 9
Here is a relaxed structure of Y2Pd9Pt from Alexandria. Energies are from GGA-PBE.

Theoretical density, g/cm³: 10.89
Space-group type: P4/mmm

Lattice parameters (Å, degrees): 4.072 4.072 12.233 90.00 90.00 90.00
Fractional coordinates of all 12 atoms:
Y  0.000  0.000  0.172
Y  0.000  0.000  0.828
Pd  0.000  0.500  0.000
Pd  0.000  0.500  0.342
Pd  0.000  0.500  0.658
Pd  0.500  0.000  0.000
Pd  0.500  0.000  0.342
Pd  0.500  0.000  0.658
Pd  0.500  0.500  0.171
Pd  0.500  0.500  0.500
Pd  0.500  0.500  0.829
Pt  0.000  0.000  0.500


Record 10
Here is a relaxed structure of YPd2Pt from Alexandria. Energies are from GGA-PBE.

Theoretical density, g/cm³: 11.70
Space-group type: P4/mmm

Lattice parameters (Å, degrees): 4.143 4.143 4.109 90.00 90.00 90.00
Fractional coordinates of all 4 atoms:
Y  0.000  0.000  0.000
Pd  0.000  0.500  0.500
Pd  0.500  0.000  0.500
Pt  0.500  0.500  0.000


Record 11
Here is a relaxed structure of YPdPt from Alexandria. Energies are from GGA-PBE.

Theoretical density, g/cm³: 11.16
Space-group type: Cmcm

Lattice parameters (Å, degrees): 4.430 9.237 5.679 90.00 90.00 90.00
Fractional coordinates of all 12 atoms:
Y  0.000  0.192  0.250
Y  0.000  0.808  0.750
Y  0.500  0.308  0.750
Y  0.500  0.692  0.250
Pd  0.000  0.108  0.750
Pd  0.000  0.892  0.250
Pd  0.500  0.392  0.250
Pd  0.500  0.608  0.750
Pt  0.000  0.500  0.000
Pt  0.000  0.500  0.500
Pt  0.500  0.000  0.000
Pt  0.500  0.000  0.500


Record 12
Here is a relaxed structure of Y4PdPt from Alexandria. Energies are from GGA-PBE.

Theoretical density, g/cm³: 6.59
Space-group type: C2/c

Lattice parameters (Å, degrees): 6.918 6.918 8.507 114.59 114.59 88.58
Fractional coordinates of all 12 atoms:
Y  0.023  0.754  0.000
Y  0.246  0.977  0.500
Y  0.247  0.477  0.500
Y  0.477  0.247  0.000
Y  0.523  0.753  0.000
Y  0.753  0.523  0.500
Y  0.754  0.023  0.500
Y  0.977  0.246  0.000
Pd  0.375  0.625  0.250
Pd  0.625  0.375  0.750
Pt  0.125  0.875  0.750
Pt  0.875  0.125  0.250


Number 1: electronic total energy -4.877 eV/atom. Number 2: electronic total energy -4.738 eV/atom. Number 3: electronic total energy -6.206 eV/atom. Number 4: electronic total energy -5.850 eV/atom. Number 5: electronic total energy -6.521 eV/atom. Number 6: electronic total energy -7.284 eV/atom. Number 7: electronic total energy -6.942 eV/atom. Number 8: electronic total energy -6.480 eV/atom. Number 9: electronic total energy -6.035 eV/atom. Number 10: electronic total energy -6.622 eV/atom. Number 11: electronic total energy -6.904 eV/atom. Number 12: electronic total energy -6.844 eV/atom.